# 1
# BaNb3NO7

A geometry-optimized BaNb3NO7 structure (PBEsol, Alexandria via LeMat-Bulk).

```
BaNb3NO7
1.0
-0.448 0.565 3.786
-8.900 -0.774 -0.938
1.115 -10.565 -0.252
O N Nb Ba
14 2 6 2
Cartesian
-2.343 -1.517 1.911
-8.383 -1.750 1.230
-5.176 -1.488 1.571
-7.677 -7.512 2.175
-3.146 -6.324 0.572
-2.972 -9.227 1.026
-5.135 -4.360 2.005
0.163 -9.051 1.371
-4.868 -7.262 2.470
-2.159 -4.270 2.344
-7.893 -4.590 1.713
-0.284 -6.197 0.892
-3.412 -3.405 0.104
-6.161 -6.495 0.240
-0.590 -3.265 0.418
-5.891 -9.235 0.682
-4.292 -8.004 0.687
-7.595 -8.391 0.354
-0.527 -2.481 2.270
-6.447 -5.653 2.043
-3.907 -2.749 1.910
-1.695 -5.109 0.562
-6.659 -0.974 -0.643
-1.562 -9.859 3.249
```

Output
**Space-group type**: No. 8
**Raw total energy**: -108.74 eV per formula unit
**Raw formation energy**: -2405 meV/atom


# 2
# HgMo3

A geometry-optimized HgMo3 structure (PBEsol, Alexandria via LeMat-Bulk).

```
HgMo3
1.0
-2.218 1.355 -0.948
-1.642 -4.204 -2.169
-1.721 0.457 4.680
Hg Mo
1 3
Cartesian
0.000 0.000 0.000
-1.970 0.906 1.866
-1.930 -1.424 -1.558
-1.682 -1.873 1.256
```

Output
**Space-group type**: No. 65
**Raw total energy**: -34.02 eV per formula unit
**Offset from the most stable computed form**: 176 meV per atom


# 3
# GePbSN2

A geometry-optimized GePbSN2 structure (PBEsol, Alexandria via LeMat-Bulk).

```
GePbSN2
1.0
3.914 0.000 0.000
0.000 3.914 0.000
0.000 0.000 4.899
S Pb N Ge
1 1 2 1
Cartesian
0.000 0.000 2.450
1.957 1.957 2.450
0.000 1.957 0.000
1.957 0.000 0.000
0.000 0.000 0.000
```

Output
**Space-group type**: No. 123
**Raw total energy**: -26.60 eV per formula unit
**Raw formation energy**: 755 meV/atom


# 4
# Be2NiPt2

A geometry-optimized Be2NiPt2 structure (PBEsol, Alexandria via LeMat-Bulk).

```
Be2NiPt2
1.0
-0.475 -1.212 2.405
3.618 -4.986 -1.799
5.181 2.869 2.470
Be Pt Ni
4 4 2
Cartesian
2.963 -2.770 -0.811
6.414 -2.521 -0.004
2.386 0.404 0.675
5.836 0.654 1.483
4.508 -3.805 0.527
1.831 -1.793 1.013
3.816 0.476 2.549
6.493 -1.536 2.064
4.400 -1.058 0.336
0.000 0.000 0.000
```

Output
**Space-group type**: No. 127
**Raw total energy**: -30.59 eV per formula unit


# 5
# BeZn2Hg

A geometry-optimized BeZn2Hg structure (PBEsol, Alexandria via LeMat-Bulk).

```
BeZn2Hg
1.0
-1.481 -3.061 2.737
1.106 -4.181 -0.597
2.741 -1.951 2.781
Hg Zn Be
1 2 1
Cartesian
1.774 -6.895 3.691
0.591 -2.298 1.230
0.000 0.000 0.000
1.183 -4.597 2.461
```

Output
**Space-group type**: No. 216
**Raw total energy**: -6.47 eV per formula unit
**Offset from the most stable computed form**: 116 meV per atom


# 6
# Tm3InC

A geometry-optimized Tm3InC structure (PBEsol, Alexandria via LeMat-Bulk).

```
Tm3InC
1.0
5.419 0.000 0.000
0.000 5.419 0.000
0.000 0.000 5.419
C Tm In
1 3 1
Cartesian
0.000 0.000 0.000
2.710 2.710 0.000
2.710 0.000 2.710
0.000 2.710 2.710
2.710 2.710 2.710
```

Output
**Space-group type**: No. 221
**Raw total energy**: -19.06 eV per formula unit


Record order is preserved below.
Total magnetization: 0.000; 0.000; 0.209; 0.001; 0.000; 0.000 μB per atom